(1)
Material: AgPt2Cl
Method: DFT, PBE
State: optimized geometry

a = 2.8492 Å, b = 4.1892 Å, c = 5.6990 Å
α = 90.00°, β = 90.00°, γ = 90.00°
Fractional positions:
Ag 0.0000 0.0000 0.0000
Pt 0.5000 0.5000 0.2461
Pt 0.5000 0.5000 0.7539
Cl 0.0000 0.0000 0.5000

formation energy from raw total energies = 0.48 eV per atom
V = 68 Å³/f.u.
electronic total energy = -14.84 eV per cell
space-group type = Pmmm

---

(2)
Material: AgPt2Cl
Method: DFT, PBE
State: optimized geometry

a = 5.1011 Å, b = 5.1011 Å, c = 2.8269 Å
α = 90.00°, β = 90.00°, γ = 112.29°
Fractional positions:
Ag 0.0000 0.0000 0.0000
Pt 0.0000 0.5000 0.5000
Pt 0.5000 0.0000 0.5000
Cl 0.5000 0.5000 0.0000

formation energy from raw total energies = 0.52 eV per atom
V = 68 Å³/f.u.
electronic total energy = -14.72 eV per cell
space-group type = Cmmm

---

(3)
Material: Ag2PtCl
Method: DFT, PBE
State: optimized geometry

a = 5.9797 Å, b = 5.9797 Å, c = 5.9797 Å
α = 102.13°, β = 102.13°, γ = 125.42°
Fractional positions:
Ag 0.1216 0.1250 0.4966
Ag 0.3750 0.8784 0.0034
Ag 0.6284 0.6250 0.5034
Ag 0.8750 0.3716 0.9966
Pt 0.2500 0.7500 0.5000
Pt 0.5000 0.5000 0.0000
Cl 0.0000 0.0000 0.0000
Cl 0.7500 0.2500 0.5000

formation energy from raw total energies = 0.33 eV per atom
V = 77 Å³/f.u.
electronic total energy = -24.58 eV per cell
space-group type = I-42d